A plane-wave DFT calculation with PBE was carried out for ScSbRuO6 after structural relaxation.

* spin magnetization: 4.0 μB per cell
* raw total energy: -7.317 eV/atom
* uncorrected formation energy: -1819 meV/atom

a b c (Å): 4.741 4.741 9.507
angles (deg): 90.00 90.00 90.00
Space group P4_2nm (No. 102)
Asymmetric unit:
Sc  0.000  0.000  0.000
Sb  0.000  0.000  0.664
Ru  0.000  0.000  0.330
O  0.187  0.187  0.494
O  0.199  0.199  0.165
O  0.201  0.201  0.824